(1)
# Mg2AlAs, relaxed, DFT PBE
# Final energy ... -2.87 eV/atom
# Crystal system ... tetragonal
# Fermi-level density of states ... 0.50 states/eV per atom
data_Mg2AlAs
_chemical_formula_sum 'Mg8 Al4 As4'
_cell_length_a 7.768
_cell_length_b 7.768
_cell_length_c 5.815
_cell_angle_alpha 90.00
_cell_angle_beta 90.00
_cell_angle_gamma 90.00
_space_group_name_H-M_alt 'I -4 2 d'
_space_group_IT_number 122
_space_group_name_Hall 'I -4 2bw'
loop_
_atom_site_label
_atom_site_fract_x
_atom_site_fract_y
_atom_site_fract_z
Mg1 0.209 0.750 0.125
Al1 0.000 0.000 0.500
As1 0.000 0.000 0.000



(2)
# Ce2HoPa, relaxed, DFT PBE
# Final energy ... -6.31 eV/atom
# Crystal system ... tetragonal
# Fermi-level density of states ... 2.69 states/eV per atom
data_Ce2HoPa
_chemical_formula_sum 'Ce2 Ho1 Pa1'
_cell_length_a 4.793
_cell_length_b 4.793
_cell_length_c 4.714
_cell_angle_alpha 90.00
_cell_angle_beta 90.00
_cell_angle_gamma 90.00
_space_group_name_H-M_alt 'P 4/m m m'
_space_group_IT_number 123
_space_group_name_Hall '-P 4 2'
loop_
_atom_site_label
_atom_site_fract_x
_atom_site_fract_y
_atom_site_fract_z
Ce1 0.000 0.500 0.000
Ho1 0.000 0.000 0.500
Pa1 0.500 0.500 0.500



(3)
# LaTb2SnC, relaxed, DFT PBE
# Final energy ... -6.03 eV/atom
# Crystal system ... tetragonal
# Fermi-level density of states ... 0.49 states/eV per atom
data_LaTb2SnC
_chemical_formula_sum 'La1 Tb2 Sn1 C1'
_cell_length_a 4.965
_cell_length_b 4.965
_cell_length_c 5.166
_cell_angle_alpha 90.00
_cell_angle_beta 90.00
_cell_angle_gamma 90.00
_space_group_name_H-M_alt 'P 4/m m m'
_space_group_IT_number 123
_space_group_name_Hall '-P 4 2'
loop_
_atom_site_label
_atom_site_fract_x
_atom_site_fract_y
_atom_site_fract_z
La1 0.000 0.000 0.000
Tb1 0.000 0.500 0.500
Sn1 0.500 0.500 0.000
C1 0.000 0.000 0.500



Among the records above, which one has the highest Fermi-level density of states?
Ce2HoPa



Which formula does entry 2 have?
Ce2HoPa



Which formula does entry 3 have?
LaTb2SnC



Look up the final energy of the first one.
-2.87 eV/atom